Entry from the Alexandria database: a relaxed InSi2As crystal (PBE).

abc: 4.951 4.951 5.930
angles: 64.65 64.65 41.20
Sites, in units of the cell vectors:
As 0.750 0.750 0.750
Si 0.488 0.488 0.605
Si 0.012 0.012 0.895
In 0.250 0.250 0.250

Calculated values
crystal system = monoclinic
energy relative to the elements, uncorrected = 370 meV per atom
space-group type = C2/m (12)